No. 1
ReMo2P after structural relaxation. Source: Alexandria, functional GGA-PBE. Values from VASP.

```
&SYSTEM
  ibrav = 0, nat = 4, ntyp = 3
/
ATOMIC_SPECIES
Re 186.21 Re.upf
Mo 95.94 Mo.upf
P 30.97 P.upf
ATOMIC_POSITIONS angstrom
Re 0.000 0.000 0.000
Mo 1.254 2.040 1.448
Mo 1.254 -2.040 1.448
P 2.508 0.000 0.000
CELL_PARAMETERS angstrom
2.508 -4.079 0.000
2.508 4.079 0.000
0.000 0.000 2.896
```

Output
Space-group type: Cmmm
Energy of formation from the pure elements (eV/atom): 0.13
Spin magnetization (μB/f.u.): 0.00



No. 2
ReMoP2S after structural relaxation. Source: Alexandria, functional GGA-PBE. Values from VASP.

```
&SYSTEM
  ibrav = 0, nat = 5, ntyp = 4
/
ATOMIC_SPECIES
Re 186.21 Re.upf
Mo 95.94 Mo.upf
P 30.97 P.upf
S 32.06 S.upf
ATOMIC_POSITIONS angstrom
Re 0.000 0.000 0.000
Mo 2.384 2.384 2.239
P 0.000 2.384 2.239
P 2.384 0.000 2.239
S 2.384 2.384 0.000
CELL_PARAMETERS angstrom
4.769 0.000 0.000
0.000 4.769 0.000
0.000 0.000 4.478
```

Output
Raw formation energy (meV per atom): 1286
E above lowest polymorph (meV per atom): 245
Space-group type: P4/mmm
Spin magnetization (μB/f.u.): 4.03



Asked for DFT total energy across the records above, the calculation gives -39.01 -31.80 eV for the cell shown in order.